Below is a relaxed structure of AgGeBiN2, with properties calculated at the GGA-PBE level.

Cell: 4.272 4.272 5.922 Å, 90.00 90.00 90.00°
Space group P4/mmm (No. 123)
Symmetry-distinct sites (fractional):
Ag (0.000, 0.000, 0.000) x1
Ge (0.500, 0.500, 0.000) x1
Bi (0.500, 0.500, 0.500) x1
N (0.000, 0.500, 0.500) x2

Computed properties:
- formation energy from raw total energies (kJ/mol of formula units) = 872.4
- calculated volume (Å³/cell) = 108.08